Density functional theory data (PBE) for TaAlCoRh after structural relaxation.

abc: 4.3269 4.3269 4.3269
angles: 60.00 60.00 60.00
Each line ends with the local moment (μB).
Element x y z (fractional)
Co 0.0000 0.0000 0.0000  1.25
Rh 0.5000 0.5000 0.5000  0.33
Ta 0.7500 0.7500 0.7500  0.10
Al 0.2500 0.2500 0.2500  0.01

Output
Symmetry: No. 216
Formation energy from the elements: -0.555 eV/atom
Crystal system: cubic